The following is a DFT calculation (GGA-PBE) of a geometry-optimized NdGa4NiPt2 structure.

Values from the calculation:
* formation energy: -662 meV per atom
* magnetization: 0.0 μB per formula unit

a b c (Å): 4.2733 4.2733 26.3055
angles (deg): 90.00 90.00 120.00
With the nearest neighbours (Å) after each atom.
Space group R-3m (No. 166, hexagonal axes)
Asymmetric unit:
Nd 0.0000 0.0000 0.0000 x3  6 Ga 3.06
Ga 0.0000 0.0000 0.1352 x6  3 Ni 2.60, 4 Pt 2.67
Ga 0.0000 0.0000 0.4019 x6  3 Pt 2.58, 1 Ni 2.58
Ni 0.0000 0.0000 0.5000 x3  8 Ga 2.58-2.60
Pt 0.0000 0.0000 0.2367 x6  7 Ga 2.58-2.67



The following is a DFT calculation (GGA-PBE) of a geometry-optimized GaAu2F structure.

Values from the calculation:
* excess energy over the best structure of this formula in the dataset: 0.33 eV/f.u.
* magnetization: 0.0 μB per formula unit
* formation energy without anion corrections: -146 kJ/mol of formula units

a b c (Å): 6.3353 6.3353 6.3353
angles (deg): 90.00 90.00 90.00
With the nearest neighbours (Å) after each atom.
Space group Fm-3m (No. 225)
Asymmetric unit:
Ga 0.0000 0.0000 0.0000 x4  8 Au 2.74
Au 0.2500 0.2500 0.2500 x8  4 F 2.74, 4 Ga 2.74
F 0.0000 0.0000 0.5000 x4  8 Au 2.74



The following is a DFT calculation (GGA-PBE) of a geometry-optimized SrCeTiN3 structure.

Values from the calculation:
* magnetization: 0.4 μB per formula unit
* formation energy without anion corrections: -698 kJ/mol of formula units

a b c (Å): 7.4698 3.6613 7.9755
angles (deg): 90.00 97.90 90.00
With the nearest neighbours (Å) after each atom.
Space group P2_1/m (No. 11)
Asymmetric unit:
Sr 0.1623 0.2500 0.1738 x2  5 N 2.66-2.80
Ce 0.3680 0.7500 0.8389 x2  3 N 2.24-2.39
Ti 0.1019 0.2500 0.5976 x2  4 N 1.90-2.03
N 0.1233 0.2500 0.8373 x2  1 Ti 1.90
N 0.1569 0.7500 0.5206 x2  3 Ti 1.99-2.03
N 0.4243 0.7500 0.1225 x2  3 Ce 2.24-2.39



So what do the calculations give for E_tot? Going down the list: -0.1839; -0.1191; -0.2923 hartree per atom.